i) PBE Ba2Sn2Pb3, relaxed; total magnetic moment = 0.0 μB/f.u.
1.0
2.270 -11.638 0.000
2.270 11.638 0.000
0.000 0.000 4.857
Ba Sn Pb
2 2 3
Direct
0.159 0.841 0.000
0.841 0.159 0.000
0.288 0.712 0.500
0.712 0.288 0.500
0.000 0.000 0.000
0.432 0.568 0.500
0.568 0.432 0.500

=====

ii) PBE Ba2Sn2Pb3, relaxed; total magnetic moment = 0.0 μB/f.u.
1.0
6.587 -2.396 0.000
6.587 2.396 0.000
-0.737 0.000 8.018
Ba Sn Pb
2 2 3
Direct
0.133 0.133 0.306
0.867 0.867 0.694
0.411 0.411 0.375
0.589 0.589 0.625
0.164 0.164 0.841
0.500 0.500 0.000
0.836 0.836 0.159

=====

Stability check: which of them is least stable? i).

=====

i) PBE BaSn3Pb3, relaxed; total magnetic moment = 0.0 μB/f.u.
1.0
9.319 0.000 0.000
-4.660 8.071 0.000
0.000 0.000 5.922
Ba Sn Pb
2 6 6
Direct
0.333 0.667 0.250
0.667 0.333 0.750
0.041 0.823 0.250
0.177 0.217 0.250
0.217 0.041 0.750
0.783 0.959 0.250
0.823 0.783 0.750
0.959 0.177 0.750
0.094 0.636 0.750
0.364 0.458 0.750
0.458 0.094 0.250
0.542 0.906 0.750
0.636 0.542 0.250
0.906 0.364 0.250

=====

ii) PBE BaSn3Pb3, relaxed; total magnetic moment = 0.0 μB/f.u.
1.0
8.397 0.000 0.000
0.000 8.397 0.000
0.000 0.000 8.397
Ba Sn Pb
2 6 6
Direct
0.000 0.000 0.000
0.500 0.500 0.500
0.000 0.250 0.500
0.000 0.750 0.500
0.250 0.500 0.000
0.500 0.000 0.250
0.500 0.000 0.750
0.750 0.500 0.000
0.000 0.500 0.250
0.000 0.500 0.750
0.250 0.000 0.500
0.500 0.250 0.000
0.500 0.750 0.000
0.750 0.000 0.500

=====

Stability check: which of them is least stable? ii).

=====

i) PBE BaSn3Pb, relaxed; total magnetic moment = 0.0 μB/f.u.
1.0
6.711 0.000 0.000
0.000 7.328 0.000
0.000 0.000 7.071
Ba Sn Pb
2 6 2
Direct
0.000 0.247 0.000
0.500 0.753 0.500
0.000 0.910 0.639
0.250 0.237 0.488
0.250 0.763 0.988
0.500 0.090 0.139
0.750 0.237 0.488
0.750 0.763 0.988
0.000 0.604 0.337
0.500 0.396 0.837

=====

ii) PBE BaSn3Pb, relaxed; total magnetic moment = 0.0 μB/f.u.
1.0
2.431 -15.109 0.000
2.431 15.109 0.000
0.000 0.000 4.739
Ba Sn Pb
2 6 2
Direct
0.077 0.923 0.750
0.923 0.077 0.250
0.309 0.691 0.250
0.372 0.628 0.750
0.472 0.528 0.750
0.528 0.472 0.250
0.628 0.372 0.250
0.691 0.309 0.750
0.200 0.800 0.250
0.800 0.200 0.750

=====

Stability check: which of them is least stable? i).